No. 1
First-principles (GGA-PBE) data for a relaxed Mn2AlC crystal, as listed in Alexandria.

POSCAR file:
```
Mn2AlC
1.0
2.869 0.000 0.000
1.435 2.485 0.000
1.435 0.828 6.197
Mn Al C
2 1 1
Cartesian
1.435 0.828 5.146 Mn
1.435 0.828 1.055 Mn
2.869 1.656 3.090 Al
2.869 1.656 0.004 C
```

## Properties
Energy relative to the elements   -168.8 meV/atom


No. 2
First-principles (GGA-PBE) data for a relaxed Ac3P4Pd2 crystal, as listed in Alexandria.

POSCAR file:
```
Ac3P4Pd2
1.0
-2.122 -0.886 3.724
-2.325 -3.160 -4.649
6.547 -5.025 2.536
Ac P Pd
3 4 2
Cartesian
2.259 -4.839 2.708 Ac
0.000 0.000 0.000 Ac
-0.160 -4.231 -1.097 Ac
-2.339 -2.281 0.696 P
4.439 -6.789 0.915 P
0.241 -6.641 1.129 P
1.859 -2.429 0.482 P
-0.199 -2.717 1.812 Pd
2.298 -6.353 -0.201 Pd
```

## Properties
Energy relative to the elements   -1117.7 meV/atom


No. 3
First-principles (GGA-PBE) data for a relaxed Ba2YMoBr crystal, as listed in Alexandria.

POSCAR file:
```
Ba2YMoBr
1.0
-1.510 5.942 0.968
-0.043 -0.845 5.121
6.020 1.481 0.296
Y Mo Ba Br
1 1 2 1
Cartesian
-0.022 -0.423 2.560 Y
0.000 0.000 0.000 Mo
3.010 0.741 0.148 Ba
-0.755 2.971 0.484 Ba
2.234 3.289 3.192 Br
```

## Properties
Energy relative to the elements, uncorrected   0.80 eV per formula unit


No. 4
First-principles (GGA-PBE) data for a relaxed Sr2ZnGa crystal, as listed in Alexandria.

POSCAR file:
```
Sr2ZnGa
1.0
4.048 0.000 0.000
2.024 3.506 0.000
2.024 1.169 10.965
Sr Zn Ga
2 1 1
Cartesian
2.024 1.169 7.727 Sr
6.073 3.506 3.238 Sr
4.048 2.337 5.483 Zn
0.000 0.000 0.000 Ga
```

## Properties
Energy relative to the elements   220.6 meV/atom


No. 5
First-principles (GGA-PBE) data for a relaxed LuPaMn4 crystal, as listed in Alexandria.

POSCAR file:
```
LuPaMn4
1.0
-3.340 3.843 0.037
-4.047 -0.114 -3.089
-4.659 -0.695 1.933
Pa Lu Mn
1 1 4
Cartesian
0.000 0.000 0.000 Pa
-3.012 0.758 -0.280 Lu
-5.198 2.245 -1.667 Mn
-5.505 1.954 0.848 Mn
-7.532 1.897 -0.699 Mn
-5.859 -0.028 -0.718 Mn
```

## Properties
Energy relative to the elements   -8.0 meV/atom


No. 6
First-principles (GGA-PBE) data for a relaxed Pm2CuAsO6 crystal, as listed in Alexandria.

POSCAR file:
```
Pm2CuAsO6
1.0
-1.016 1.520 -4.477
-1.743 -4.812 -1.239
-4.844 1.354 1.560
Pm Cu As O
2 1 1 6
Cartesian
-0.896 -2.370 -0.726 Pm
-2.446 0.713 0.673 Pm
-3.818 -0.945 -2.150 Cu
-0.624 0.934 -2.751 As
-2.276 0.293 -3.167 O
-4.856 1.014 -2.336 O
-3.421 -1.539 -0.401 O
-0.251 0.375 -1.104 O
-5.784 -1.549 -2.996 O
-3.204 -2.270 -3.826 O
```

## Properties
Energy relative to the elements, uncorrected   -20.74 eV per formula unit


No. 7
First-principles (GGA-PBE) data for a relaxed Th2Fe3B12Ru crystal, as listed in Alexandria.

POSCAR file:
```
Th2Fe3B12Ru
1.0
-1.677 -7.643 1.839
0.055 -4.781 6.461
-5.258 -4.087 4.501
Th Fe B Ru
2 3 12 1
Cartesian
-4.365 -10.474 8.120 Th
-2.516 -6.038 4.681 Th
-0.838 -3.822 0.919 Fe
0.027 -2.391 3.231 Fe
-2.629 -2.044 2.250 Fe
-0.712 -4.350 2.960 B
-3.377 -12.990 9.308 B
-5.428 -10.954 10.832 B
-1.821 -3.249 3.784 B
-6.420 -12.593 8.186 B
-2.356 -4.135 2.353 B
-6.168 -12.162 9.841 B
-3.503 -3.522 3.493 B
-1.452 -5.558 1.969 B
-5.060 -13.262 9.017 B
-0.461 -3.919 4.615 B
-4.524 -12.377 10.448 B
0.000 0.000 0.000 Ru
```

## Properties
Energy relative to the elements   14.1 meV/atom


No. 8
First-principles (GGA-PBE) data for a relaxed MgCd2Cu2 crystal, as listed in Alexandria.

POSCAR file:
```
MgCd2Cu2
1.0
-1.756 1.002 -2.761
2.571 -1.032 -2.009
-2.993 -7.445 -2.919
Mg Cu Cd
1 2 2
Cartesian
0.000 0.000 0.000 Mg
-2.171 -3.229 -4.032 Cu
-0.008 -4.246 -3.657 Cu
-0.385 -1.746 -2.509 Cd
-1.794 -5.730 -5.180 Cd
```

## Properties
Energy relative to the elements   96.0 meV/atom


No. 9
First-principles (GGA-PBE) data for a relaxed LiTc2NiN crystal, as listed in Alexandria.

POSCAR file:
```
LiTc2NiN
1.0
3.952 0.000 0.000
0.000 3.952 0.000
0.000 0.000 3.813
Ni Li Tc N
1 1 2 1
Cartesian
1.976 1.976 1.906 Ni
0.000 0.000 1.906 Li
0.000 1.976 0.000 Tc
1.976 0.000 0.000 Tc
0.000 0.000 0.000 N
```

## Properties
Energy relative to the elements, uncorrected   0.12 eV per formula unit


No. 10
First-principles (GGA-PBE) data for a relaxed Sm2MnZn3Cu12 crystal, as listed in Alexandria.

POSCAR file:
```
Sm2MnZn3Cu12
1.0
9.376 1.878 1.332
6.263 7.226 1.332
6.263 3.646 6.379
Sm Mn Zn Cu
2 1 3 12
Cartesian
14.207 8.270 5.866 Sm
7.696 4.480 3.177 Sm
0.000 0.000 0.000 Mn
4.688 0.939 0.666 Zn
3.132 3.613 0.666 Zn
3.132 1.823 3.190 Zn
11.616 6.762 6.265 Cu
16.714 9.729 4.785 Cu
14.978 10.716 7.600 Cu
12.822 6.077 4.310 Cu
16.714 7.732 7.600 Cu
11.616 8.148 4.310 Cu
10.287 5.988 2.778 Cu
5.189 3.020 4.258 Cu
6.925 2.034 1.443 Cu
9.081 6.672 4.733 Cu
5.189 5.018 1.443 Cu
10.287 4.601 4.733 Cu
```

## Properties
Energy relative to the elements   155.8 meV/atom


No. 11
First-principles (GGA-PBE) data for a relaxed Sm7Dy2Er crystal, as listed in Alexandria.

POSCAR file:
```
Sm7Dy2Er
1.0
6.163 -0.328 0.848
-0.931 7.685 -5.544
1.776 -2.572 8.996
Sm Dy Er
7 2 1
Cartesian
5.441 3.029 -0.211 Sm
1.566 1.756 4.512 Sm
4.920 2.058 3.215 Sm
2.088 2.726 1.086 Sm
1.888 7.037 -3.407 Sm
5.120 -2.252 7.708 Sm
2.616 3.678 -2.348 Sm
1.367 6.077 0.020 Dy
5.641 -1.292 4.281 Dy
0.000 0.000 0.000 Er
```

## Properties
Energy relative to the elements   17.0 meV/atom


No. 12
First-principles (GGA-PBE) data for a relaxed TaHg2Rh crystal, as listed in Alexandria.

POSCAR file:
```
TaHg2Rh
1.0
-1.469 -4.225 1.340
-3.069 -2.345 -2.623
1.359 -3.798 -2.351
Rh Hg Ta
1 2 1
Cartesian
0.000 0.000 0.000 Rh
-0.795 -2.592 -0.909 Hg
-2.385 -7.776 -2.726 Hg
-1.590 -5.184 -1.817 Ta
```

## Properties
Energy relative to the elements   362.9 meV/atom


no.,energy (Ha/atom)
1,-0.2938
2,-0.2222
3,-0.1618
4,-0.0623
5,-0.3108
6,-0.2526
7,-0.2641
8,-0.0819
9,-0.2692
10,-0.1404
11,-0.1714
12,-0.1686